# 1
Below is a geometry-optimized Nd6TlSe4 structure, with properties calculated at the PBE level.

Output
The value obtained for the magnetization is 0.454 μB/f.u. The uncorrected formation energy is -1.42 eV/atom. The total energy comes out at -5.50 eV/atom. The symmetry is Cmcm. The density of states at the Fermi level is 0.711 states/eV per atom.

Cell lengths 7.3627, 7.3627, 21.5722 Å; angles 90.00, 90.00, 146.80 degrees
Last column: nearest neighbours and their distance in Å.
Atoms (fractional coordinates):
Nd  0.0000  0.0000  0.0000  6 Se 2.96-2.99
Nd  0.0000  0.0000  0.5000  6 Se 2.96-2.99
Nd  0.1622  0.8378  0.7500  2 Se 2.90, 2 Tl 3.21
Nd  0.2726  0.7274  0.0835  5 Se 2.96-2.99
Nd  0.2726  0.7274  0.4165  5 Se 2.96-2.99
Nd  0.4555  0.5445  0.6619  3 Se 2.93-2.96
Nd  0.4555  0.5445  0.8381  3 Se 2.93-2.96
Nd  0.5445  0.4555  0.1619  3 Se 2.93-2.96
Nd  0.5445  0.4555  0.3381  3 Se 2.93-2.96
Nd  0.7274  0.2726  0.5835  5 Se 2.96-2.99
Nd  0.7274  0.2726  0.9165  5 Se 2.96-2.99
Nd  0.8378  0.1622  0.2500  2 Se 2.90, 2 Tl 3.21
Tl  0.1659  0.8341  0.2500  6 Nd 3.21-3.31
Tl  0.8341  0.1659  0.7500  6 Nd 3.21-3.31
Se  0.0911  0.9089  0.6237  6 Nd 2.90-2.98
Se  0.0911  0.9089  0.8763  6 Nd 2.90-2.98
Se  0.3626  0.6374  0.5405  6 Nd 2.93-2.99
Se  0.3626  0.6374  0.9595  6 Nd 2.93-2.99
Se  0.6374  0.3626  0.0405  6 Nd 2.93-2.99
Se  0.6374  0.3626  0.4595  6 Nd 2.93-2.99
Se  0.9089  0.0911  0.1237  6 Nd 2.90-2.98
Se  0.9089  0.0911  0.3763  6 Nd 2.90-2.98


# 2
Below is a geometry-optimized NdTl5Se5 structure, with properties calculated at the PBE level.

Output
The value obtained for the magnetization is 0.000 μB/f.u. The uncorrected formation energy is -0.63 eV/atom. The total energy comes out at -3.73 eV/atom. The symmetry is C2/m. The density of states at the Fermi level is 0.436 states/eV per atom.

Cell lengths 7.7994, 7.7994, 9.1726 Å; angles 107.00, 107.00, 44.80 degrees
Last column: nearest neighbours and their distance in Å.
Atoms (fractional coordinates):
Nd  0.0000  0.0000  0.0000  6 Se 2.97-3.05
Tl  0.0000  0.0000  0.5000  4 Se 3.22-3.24
Tl  0.3190  0.3190  0.1460  5 Se 2.99-3.29
Tl  0.3240  0.3240  0.6856  4 Se 2.99-3.18
Tl  0.6760  0.6760  0.3144  4 Se 2.99-3.18
Tl  0.6810  0.6810  0.8540  5 Se 2.99-3.29
Se  0.1559  0.1559  0.3118  4 Tl 2.99-3.24, 1 Nd 3.03
Se  0.1560  0.1560  0.8405  5 Tl 2.99-3.22, 1 Nd 3.05
Se  0.5000  0.5000  0.0000  2 Nd 2.97, 4 Tl 3.18-3.29
Se  0.8440  0.8440  0.1595  5 Tl 2.99-3.22, 1 Nd 3.05
Se  0.8441  0.8441  0.6882  4 Tl 2.99-3.24, 1 Nd 3.03


# 3
Below is a geometry-optimized Nd2TlSe structure, with properties calculated at the PBE level.

Output
The value obtained for the magnetization is 0.000 μB/f.u. The uncorrected formation energy is -1.03 eV/atom. The total energy comes out at -4.87 eV/atom. The symmetry is R3m. The density of states at the Fermi level is 1.094 states/eV per atom.

Cell lengths 8.7793, 8.7793, 8.7793 Å; angles 26.71, 26.71, 26.71 degrees
Last column: nearest neighbours and their distance in Å.
Atoms (fractional coordinates):
Nd  0.0000  0.0000  0.0000  3 Se 2.94
Nd  0.1919  0.1919  0.1919  3 Se 2.96
Tl  0.4289  0.4289  0.4289  6 Nd 3.37-3.39
Se  0.5969  0.5969  0.5969  6 Nd 2.94-2.96


# 4
Below is a geometry-optimized NdTlSe2 structure, with properties calculated at the PBE level.

Output
The value obtained for the magnetization is 0.000 μB/f.u. The uncorrected formation energy is -1.18 eV/atom. The total energy comes out at -4.71 eV/atom. The symmetry is P4/mmm. The density of states at the Fermi level is 0.122 states/eV per atom.

Cell lengths 3.7490, 3.7490, 7.8419 Å; angles 90.00, 90.00, 90.00 degrees
Last column: nearest neighbours and their distance in Å.
Atoms (fractional coordinates):
Nd  0.0000  0.0000  0.0000  8 Se 3.13
Tl  0.0000  0.0000  0.5000  8 Se 3.48, 4 Tl 3.75
Se  0.5000  0.5000  0.2131  4 Nd 3.13, 1 Se 3.34, 4 Tl 3.48
Se  0.5000  0.5000  0.7869  4 Nd 3.13, 1 Se 3.34, 4 Tl 3.48


Which value of magnetization does entry 3 give? 0.000 μB/f.u.